1.
An optimized crystal structure of CeErTeAs, computed with PBE-GGA.

Cell: 7.8080 7.8080 7.8080 Å, 31.01 31.01 31.01°
Sites, in units of the cell vectors:
Ce  0.0000  0.0000  0.0000
Er  0.1895  0.1895  0.1895
Te  0.4303  0.4303  0.4303
As  0.5927  0.5927  0.5927

calculated volume	112.1	Å³/cell
uncorrected formation energy	-5.5	eV/f.u.
density of states at the Fermi level	7.0	states/eV/cell



2.
An optimized crystal structure of Li3Cd4In3, computed with PBE-GGA.

Cell: 3.5699 7.9278 7.9278 Å, 91.13 90.00 90.00°
Sites, in units of the cell vectors:
Li  0.0000  0.0000  0.0000
Li  0.0000  0.5074  0.8325
Li  0.0000  0.8325  0.5074
Cd  0.5000  0.0154  0.2954
Cd  0.5000  0.2954  0.0154
Cd  0.5000  0.5404  0.5404
Cd  0.5000  0.8013  0.8013
In  0.0000  0.3289  0.3289
In  0.5000  0.1544  0.6654
In  0.5000  0.6654  0.1544

calculated volume	224.3	Å³/cell
DFT formation energy	-0.10	eV/atom
density of states at the Fermi level	3.2	states/eV/cell